A geometry-optimized Ho2Er3ScTe6 structure. Source: Alexandria, functional PBE.

```
Ho2Er3ScTe6
1.0
9.369 -2.144 0.000
9.369 2.144 0.000
-1.954 0.000 8.409
Ho Er Sc Te
2 3 1 6
Cartesian
2.486 0.000 2.796
14.299 0.000 5.614
1.583 0.000 7.029
8.392 0.000 4.205
15.201 0.000 1.380
9.369 0.000 0.000
-1.441 0.000 6.375
5.450 0.000 3.502
4.544 0.000 7.745
12.240 0.000 0.664
11.335 0.000 4.907
18.225 0.000 2.034
```

**Magnetization**: 0.003 μB/cell
**ΔE_f (raw)**: -1391 kJ/mol of formula units
**VASP energy**: -5.20 eV/atom